1.
Here is a relaxed structure of YP2O2 from Alexandria via LeMat-Bulk. Energies are from PBE.

Computed properties:
Its uncorrected formation energy is -16.48 kcal/mol of atoms. The density comes out at 4.06 g/cm³. The space group is P4/mmm. The energy above the lowest structure with this stoichiometry comes out at 636 meV/atom.

Unit cell a=3.648 b=3.648 c=5.624 alpha=90.00 beta=90.00 gamma=90.00
Atoms (fractional coordinates):
Y 0.000 0.000 0.000
P 0.000 0.500 0.500
P 0.500 0.000 0.500
O 0.500 0.500 0.000
O 0.500 0.500 0.500

=====

2.
Here is a relaxed structure of YZnPO2 from Alexandria via LeMat-Bulk. Energies are from PBE.

Computed properties:
Its uncorrected formation energy is -16.44 kcal/mol of atoms. The density comes out at 3.35 g/cm³. The space group is P4/mmm. The energy above the lowest structure with this stoichiometry comes out at 161 meV/atom.

Unit cell a=4.226 b=4.226 c=6.023 alpha=90.00 beta=90.00 gamma=90.00
Atoms (fractional coordinates):
Y 0.000 0.000 0.000
Zn 0.500 0.500 0.500
P 0.000 0.000 0.500
O 0.000 0.500 0.000
O 0.500 0.000 0.000

=====

3.
Here is a relaxed structure of YZnPO2 from Alexandria via LeMat-Bulk. Energies are from PBE.

Computed properties:
Its uncorrected formation energy is -20.15 kcal/mol of atoms. The density comes out at 4.90 g/cm³. The space group is P4/mmm. The energy above the lowest structure with this stoichiometry comes out at 0 meV/atom.

Unit cell a=4.024 b=4.024 c=4.547 alpha=90.00 beta=90.00 gamma=90.00
Atoms (fractional coordinates):
Y 0.000 0.000 0.000
Zn 0.500 0.500 0.500
P 0.500 0.500 0.000
O 0.000 0.500 0.500
O 0.500 0.000 0.500

=====

4.
Here is a relaxed structure of YZnPO2 from Alexandria via LeMat-Bulk. Energies are from PBE.

Computed properties:
Its uncorrected formation energy is -8.83 kcal/mol of atoms. The density comes out at 3.76 g/cm³. The space group is P4/mmm. The energy above the lowest structure with this stoichiometry comes out at 491 meV/atom.

Unit cell a=3.849 b=3.849 c=6.477 alpha=90.00 beta=90.00 gamma=90.00
Atoms (fractional coordinates):
Y 0.000 0.000 0.000
Zn 0.000 0.000 0.500
P 0.500 0.500 0.000
O 0.000 0.500 0.500
O 0.500 0.000 0.500

=====

| no. | V (Å³/f.u.) |
| --- | --- |
| 1 | 75 |
| 2 | 108 |
| 3 | 74 |
| 4 | 96 |